# MgV2O4

MgV2O4 after structural relaxation (PBE with a Hubbard U, Alexandria).

- DFT total energy: -7.370 eV/atom

abc: 5.118 5.118 9.944
angles: 90.00 90.00 146.60
Each line ends with the local moment (μB).
Sites, in units of the cell vectors:
V 0.866 0.134 0.572  1.90
O 0.500 0.500 0.500  0.01
O 0.500 0.500 0.000  0.01
Mg 0.608 0.392 0.750  0.01
O 0.772 0.228 0.116  -0.01
O 0.228 0.772 0.884  -0.01
V 0.134 0.866 0.428  1.90
Mg 0.392 0.608 0.250  0.01
O 0.228 0.772 0.616  -0.01
O 0.036 0.964 0.250  0.00
O 0.964 0.036 0.750  0.00
O 0.772 0.228 0.384  -0.01
V 0.134 0.866 0.072  1.90
V 0.866 0.134 0.928  1.90